Model P:
This record from Alexandria via LeMat-Bulk describes a geometry-optimized KYI2N structure. The functional is PBE.

Space-group type: P4/mmm (123)

Cell: 6.3394 6.3394 4.2004 Å, 90.00 90.00 90.00°
Fractional positions:
I 0.0000 0.5000 0.0000
I 0.5000 0.0000 0.0000
Y 0.0000 0.0000 0.0000
K 0.5000 0.5000 0.5000
N 0.0000 0.0000 0.5000


Model Q:
This record from Alexandria via LeMat-Bulk describes a geometry-optimized KYI2N structure. The functional is PBE.

Space-group type: P4/mmm (123)

Cell: 6.0571 6.0571 4.6699 Å, 90.00 90.00 90.00°
Each line ends with the local moment (μB).
Fractional positions:
I 0.0000 0.5000 0.0000  0.02
I 0.5000 0.0000 0.0000  0.02
Y 0.5000 0.5000 0.5000  -0.46
K 0.0000 0.0000 0.0000  -0.07
N 0.0000 0.0000 0.5000  -0.07


Relative energy of each structure, in eV/atom: model P 0.000; model Q 1.498.